First-principles (PBE) data for crystalline TlSi4Te at its relaxed geometry, as listed in Alexandria via LeMat-Bulk.

Output
Space group: F-43m

Cell lengths 5.537, 5.537, 5.537 Å; angles 60.00, 60.00, 60.00 degrees
Sites, in units of the cell vectors:
Te  0.750  0.750  0.750
Tl  0.000  0.000  0.000
Si  0.374  0.374  0.879
Si  0.374  0.374  0.374
Si  0.879  0.374  0.374
Si  0.374  0.879  0.374

First-principles (PBE) data for crystalline Sm2AlAu at its relaxed geometry, as listed in Alexandria via LeMat-Bulk.

Output
Space group: P2_1/m
Formation energy from the elements (meV/atom): -552

Cell lengths 4.521, 6.121, 8.093 Å; angles 111.08, 90.00, 90.00 degrees
Sites, in units of the cell vectors:
Sm  0.750  0.219  0.916
Sm  0.250  0.802  0.568
Sm  0.750  0.198  0.432
Sm  0.250  0.781  0.084
Al  0.250  0.337  0.213
Al  0.750  0.663  0.787
Au  0.750  0.628  0.291
Au  0.250  0.372  0.709

First-principles (PBE) data for crystalline CdRuCl6 at its relaxed geometry, as listed in Alexandria via LeMat-Bulk.

Output
Space group: R-3

Cell lengths 6.261, 6.261, 6.709 Å; angles 62.18, 62.19, 60.01 degrees
Sites, in units of the cell vectors:
Cl  0.605  0.222  0.236
Cl  0.064  0.395  0.764
Cl  0.222  0.936  0.236
Cl  0.936  0.605  0.236
Cl  0.778  0.064  0.764
Cl  0.395  0.778  0.764
Cd  0.500  0.500  0.500
Ru  0.000  0.000  0.000

Total moment (μB per atom)
0.00, 0.00, 0.25
N(E_F) (states/eV/cell)
3.40, 8.38, 4.71
Energy (eV per atom)
-3.952, -4.667, -3.292